Computed, not measured: a relaxed AuBrCl2 crystal at the GGA-PBEsol level of DFT.

Cell and atoms, written as POSCAR:
```
AuBrCl2
1.0
3.6525 -0.0957 -0.1070
-1.5618 5.0169 -0.0286
-1.5618 -0.5859 4.9827
Au Br Cl
1 1 2
Cartesian
-1.5618 2.2155 2.4770
0.0000 0.0000 0.0000
-0.7809 2.5084 -0.0143
-0.7809 -0.2929 2.4913
```

Results
Total magnetic moment, μB/f.u.: 0.00
Volume, Å³ per cell: 90
SG: C2/m (12)
Distance to the lowest polymorph of the same formula, eV per formula unit: 1.15